No. 1
The following is a PBE calculation of an optimized crystal structure of MgMn4Pd5, from Alexandria.

The structure belongs to space group P4/mmm (No. 123); the cell edges are 3.192, 3.192 and 15.085 Å and the angles 90.00°, 90.00° and 90.00°. Symmetry generates all atoms from Mg at (0.000, 0.000, 0.000), Mn at (0.000, 0.000, 0.201), Mn at (0.000, 0.000, 0.401), Pd at (0.500, 0.500, 0.104), Pd at (0.500, 0.500, 0.301) and Pd at (0.500, 0.500, 0.500).

The crystal system is tetragonal. The density of states at the Fermi level comes out at 0.36 states/eV/atom. The value obtained for the energy is -6.722 eV/atom. The calculation puts the formation energy at -0.30 eV per atom. The magnetization is 17.82 Bohr magnetons per cell.

=====

No. 2
The following is a PBE calculation of an optimized crystal structure of HgSb2I, from Alexandria.

The structure belongs to space group Fm-3m (No. 225); the cell edges are 7.704, 7.704 and 7.704 Å and the angles 90.00°, 90.00° and 90.00°. Symmetry generates all atoms from Hg at (0.000, 0.000, 0.000), Sb at (0.250, 0.250, 0.250) and I at (0.000, 0.000, 0.500).

The crystal system is cubic. The density of states at the Fermi level comes out at 0.64 states/eV/atom. The calculation puts the distance to the lowest polymorph of the same formula at 0.438 eV/atom. The value obtained for the energy is -2.141 eV/atom. The magnetization is 0.00 Bohr magnetons per cell. As for the uncorrected formation energy: 0.383 eV/atom.

=====

Copy entry 2 word for word.
The following is a PBE calculation of an optimized crystal structure of HgSb2I, from Alexandria.

The structure belongs to space group Fm-3m (No. 225); the cell edges are 7.704, 7.704 and 7.704 Å and the angles 90.00°, 90.00° and 90.00°. Symmetry generates all atoms from Hg at (0.000, 0.000, 0.000), Sb at (0.250, 0.250, 0.250) and I at (0.000, 0.000, 0.500).

The crystal system is cubic. The density of states at the Fermi level comes out at 0.64 states/eV/atom. The calculation puts the distance to the lowest polymorph of the same formula at 0.438 eV/atom. The value obtained for the energy is -2.141 eV/atom. The magnetization is 0.00 Bohr magnetons per cell. As for the uncorrected formation energy: 0.383 eV/atom.

=====

- energy of number 2 (HgSb2I)?
  -2.141 eV/atom

=====

- Which of these has the lowest energy?
  MgMn4Pd5

=====

- Look up the energy of the second one.
  -2.141 eV/atom